[1]
Os2SeBr | meta-GGA SCAN | single point on PBEsol structure

a = 2.8722 Å, b = 2.8722 Å, c = 10.0923 Å
α = 90.00°, β = 90.00°, γ = 121.81°
Fractional coordinates of all 4 atoms:
Os  0.0000  0.0000  0.0000
Os  0.5000  0.5000  0.2082
Se  0.0000  0.0000  0.4310
Br  0.5000  0.5000  0.7584

Computed properties:
The total magnetization comes out at 1.0 μB per cell. Its polymorph energy (0 for the lowest one) is 0.000 eV per atom. Its formation energy (no corrections) is 370.8 kJ/mol of formula units. The value obtained for the total energy is -179.5 eV for the cell shown.

[2]
OsSeBr | meta-GGA SCAN | single point on PBEsol structure

a = 4.3181 Å, b = 4.3181 Å, c = 4.3181 Å
α = 60.00°, β = 60.00°, γ = 60.00°
Fractional coordinates of all 3 atoms:
Os  0.0000  0.0000  0.0000
Se  0.7500  0.7500  0.7500
Br  0.2500  0.2500  0.2500

Computed properties:
The total magnetization comes out at 0.0 μB per cell. Its formation energy (no corrections) is 181.4 kJ/mol of formula units. The value obtained for the total energy is -109.5 eV for the cell shown.

Copy entry 2 word for word.
OsSeBr | meta-GGA SCAN | single point on PBEsol structure

a = 4.3181 Å, b = 4.3181 Å, c = 4.3181 Å
α = 60.00°, β = 60.00°, γ = 60.00°
Fractional coordinates of all 3 atoms:
Os  0.0000  0.0000  0.0000
Se  0.7500  0.7500  0.7500
Br  0.2500  0.2500  0.2500

Computed properties:
The total magnetization comes out at 0.0 μB per cell. Its formation energy (no corrections) is 181.4 kJ/mol of formula units. The value obtained for the total energy is -109.5 eV for the cell shown.

Question: Among the records above, which one has the lowest formation energy (no corrections)?
Answer: OsSeBr